No. 1
# K4AsOs

K4AsOs after structural relaxation (PBE-GGA, the Alexandria database).

Values from the calculation:
magnetic moment: 2.9 μB per formula unit
calculated formation energy: 7.12 eV per formula unit
SG: F-43m (216)

Cell lengths 6.4299, 6.4299, 6.4299 Å; angles 60.00, 60.00, 60.00 degrees
With the nearest neighbours (Å) after each atom.
Sites, in units of the cell vectors:
K  0.3757  0.3757  0.3757  6 K 3.20-3.23
K  0.3757  0.3757  0.8728  6 K 3.20-3.23
K  0.3757  0.8728  0.3757  6 K 3.20-3.23
K  0.8728  0.3757  0.3757  6 K 3.20-3.23
As  0.7500  0.7500  0.7500  12 K 3.77, 4 Os 3.94
Os  0.0000  0.0000  0.0000  12 K 3.77, 4 As 3.94



No. 2
# CuAg2Br

CuAg2Br after structural relaxation (PBE-GGA, the Alexandria database).

Values from the calculation:
magnetic moment: 0.0 μB per formula unit
formation energy from raw total energies: 0.145 eV per atom
SG: C2/m (12)
E above lowest polymorph: 110 meV per atom

Cell lengths 4.1973, 4.1973, 6.3021 Å; angles 100.77, 100.77, 49.94 degrees
With the nearest neighbours (Å) after each atom.
Sites, in units of the cell vectors:
Cu  0.0000  0.0000  0.0000  6 Ag 2.56-2.62
Ag  0.2665  0.2665  0.8086  3 Cu 2.56-2.62
Ag  0.7335  0.7335  0.1914  3 Cu 2.56-2.62
Br  0.5000  0.5000  0.5000  6 Ag 2.89-3.07



No. 3
# YBH

YBH after structural relaxation (PBE-GGA, the Alexandria database).

Values from the calculation:
magnetic moment: 0.0 μB per formula unit
SG: Cmcm (63)
E above lowest polymorph: 0 meV per atom

Cell lengths 6.3987, 6.3987, 3.2715 Å; angles 90.00, 90.00, 146.70 degrees
With the nearest neighbours (Å) after each atom.
Sites, in units of the cell vectors:
Y  0.1344  0.8656  0.7500  4 H 2.20-2.28
Y  0.8656  0.1344  0.2500  4 H 2.20-2.28
B  0.4782  0.5218  0.7500  2 B 1.72
B  0.5218  0.4782  0.2500  2 B 1.72
H  0.2547  0.7453  0.2500  4 Y 2.20-2.28, 4 H 2.46
H  0.7453  0.2547  0.7500  4 Y 2.20-2.28, 4 H 2.46



No. 4
# Na2AcTlS4

Na2AcTlS4 after structural relaxation (PBE-GGA, the Alexandria database).

Values from the calculation:
magnetic moment: 0.0 μB per formula unit
formation energy from raw total energies: -1.131 eV per atom
SG: C2/c (15)

Cell lengths 8.2986, 8.2986, 8.0707 Å; angles 118.42, 118.42, 90.70 degrees
With the nearest neighbours (Å) after each atom.
Sites, in units of the cell vectors:
Na  0.0000  0.0000  0.0000  6 S 2.90-3.23
Na  0.0000  0.0000  0.5000  6 S 2.90-3.23
Na  0.0000  0.5000  0.0000  6 S 2.90-3.00
Na  0.5000  0.0000  0.5000  6 S 2.90-3.00
Ac  0.0000  0.5000  0.5000  6 S 2.94-3.03
Ac  0.5000  0.0000  0.0000  6 S 2.94-3.03
Tl  0.5000  0.5000  0.0000  2 S 2.60
Tl  0.5000  0.5000  0.5000  2 S 2.60
S  0.2420  0.7515  0.9968  3 Na 2.90-3.00, 2 Ac 2.94-2.96, 1 Tl 3.01
S  0.2485  0.7580  0.5032  3 Na 2.90-3.00, 2 Ac 2.94-2.96, 1 Tl 3.01
S  0.2759  0.2858  0.0080  1 Tl 2.60, 1 Na 2.91
S  0.2858  0.2759  0.5080  1 Tl 2.60, 1 Na 2.91
S  0.7142  0.7241  0.4920  1 Tl 2.60, 1 Na 2.91
S  0.7241  0.7142  0.9920  1 Tl 2.60, 1 Na 2.91
S  0.7515  0.2420  0.4968  3 Na 2.90-3.00, 2 Ac 2.94-2.96, 1 Tl 3.01
S  0.7580  0.2485  0.0032  3 Na 2.90-3.00, 2 Ac 2.94-2.96, 1 Tl 3.01



No. 5
# La3PrDy7

La3PrDy7 after structural relaxation (PBE-GGA, the Alexandria database).

Values from the calculation:
magnetic moment: 0.0 μB per formula unit
calculated formation energy: 2.79 eV per formula unit
SG: C2/m (12)
E above lowest polymorph: 137 meV per atom

Cell lengths 8.5370, 8.5370, 5.9133 Å; angles 110.22, 110.22, 83.21 degrees
With the nearest neighbours (Å) after each atom.
Sites, in units of the cell vectors:
La  0.0000  0.0000  0.0000  4 Dy 3.24
La  0.2132  0.7868  0.5000  5 Dy 3.25-3.46
La  0.7868  0.2132  0.5000  5 Dy 3.25-3.46
Pr  0.5000  0.5000  0.0000  2 Dy 2.96
Dy  0.0130  0.4041  0.2083  2 La 3.24-3.46, 3 Dy 3.34-3.58
Dy  0.2059  0.2059  0.7051  1 Pr 3.33, 2 La 3.36, 6 Dy 3.58-3.70
Dy  0.4041  0.0130  0.2083  2 La 3.24-3.46, 3 Dy 3.34-3.58
Dy  0.5000  0.5000  0.5000  2 Pr 2.96, 2 La 3.25
Dy  0.5959  0.9870  0.7917  2 La 3.24-3.46, 3 Dy 3.34-3.58
Dy  0.7941  0.7941  0.2949  1 Pr 3.33, 2 La 3.36, 6 Dy 3.58-3.70
Dy  0.9870  0.5959  0.7917  2 La 3.24-3.46, 3 Dy 3.34-3.58



No. 6
# MnTl2ZnMo

MnTl2ZnMo after structural relaxation (PBE-GGA, the Alexandria database).

Values from the calculation:
magnetic moment: 1.1 μB per formula unit
calculated formation energy: 4.63 eV per formula unit
SG: P4/mmm (123)

Cell lengths 5.1803, 5.1803, 4.4571 Å; angles 90.00, 90.00, 90.00 degrees
With the nearest neighbours (Å) after each atom.
Sites, in units of the cell vectors:
Mn  0.0000  0.0000  0.0000  2 Mo 2.23
Tl  0.0000  0.5000  0.0000  2 Mn 2.59
Tl  0.5000  0.0000  0.0000  2 Mn 2.59
Zn  0.5000  0.5000  0.5000  8 Tl 3.42, 4 Mo 3.66
Mo  0.0000  0.0000  0.5000  2 Mn 2.23